Density functional theory data (PBE) for crystalline GePOsCl2 at its relaxed geometry.

The space group is P4/mmm (No. 123) and the conventional cell measures 4.699, 4.699 and 5.095 Å, with angles of 90.00, 90.00 and 90.00 degrees. The inequivalent atoms are Ge at (0.000, 0.000, 0.000), P at (0.000, 0.000, 0.500), Os at (0.500, 0.500, 0.500) and Cl at (0.000, 0.500, 0.000).

The calculation puts the raw formation energy at 1.276 eV per atom. The uncorrected energy comes out at -18.57 eV per formula unit. The value obtained for the density of states at the Fermi level is 5.85 states/eV per cell.

---

Density functional theory data (PBE) for crystalline SmYSeO2 at its relaxed geometry.

The space group is I4mm (No. 107) and the conventional cell measures 3.888, 3.888 and 12.329 Å, with angles of 90.00, 90.00 and 90.00 degrees. The inequivalent atoms are Sm at (0.000, 0.000, 0.000), Y at (0.000, 0.000, 0.688), Se at (0.000, 0.000, 0.345) and O at (0.000, 0.500, 0.098).

The calculation puts the raw formation energy at -3.020 eV per atom. The uncorrected energy comes out at -39.68 eV per formula unit. The value obtained for the density of states at the Fermi level is 0.00 states/eV per cell.

---

Density functional theory data (PBE) for crystalline RbHfIn at its relaxed geometry.

The space group is Cm (No. 8) and the conventional cell measures 8.484, 4.894 and 12.715 Å, with angles of 90.00, 103.30 and 90.00 degrees. The inequivalent atoms are Rb at (0.000, 0.000, 0.000), Rb at (0.220, 0.000, 0.637), Hf at (0.109, 0.000, 0.319), Hf at (0.276, 0.500, 0.319), In at (0.402, 0.000, 0.201) and In at (0.483, 0.000, 0.436).

The calculation puts the formation energy at 56 kJ/mol of formula units. The uncorrected energy comes out at -13.08 eV per formula unit. The value obtained for the density of states at the Fermi level is 6.48 states/eV per cell.

---

Density functional theory data (PBE) for crystalline NaLiHCl2 at its relaxed geometry.

The space group is P4/mmm (No. 123) and the conventional cell measures 5.199, 5.199 and 4.104 Å, with angles of 90.00, 90.00 and 90.00 degrees. The inequivalent atoms are Na at (0.000, 0.000, 0.000), Li at (0.500, 0.500, 0.500), H at (0.000, 0.000, 0.500) and Cl at (0.000, 0.500, 0.000).

The uncorrected energy comes out at -13.61 eV per formula unit. The value obtained for the density of states at the Fermi level is 0.00 states/eV per cell.

---

Density functional theory data (PBE) for crystalline BeOs at its relaxed geometry.

The space group is P4/nmm (No. 129, origin choice 2) and the conventional cell measures 2.803, 2.803 and 5.695 Å, with angles of 90.00, 90.00 and 90.00 degrees. The inequivalent atoms are Be at (0.250, 0.250, 0.092) and Os at (0.250, 0.250, 0.653).

The calculation puts the formation energy at -43 kJ/mol of formula units. The uncorrected energy comes out at -15.40 eV per formula unit. The value obtained for the density of states at the Fermi level is 0.80 states/eV per cell.

---

Density functional theory data (PBE) for crystalline NbZnMo at its relaxed geometry.

The space group is P1 (No. 1) and the conventional cell measures 2.758, 5.304 and 6.977 Å, with angles of 76.10, 81.61 and 80.98 degrees. The inequivalent atoms are Nb at (0.000, 0.000, 0.000), Nb at (0.157, 0.186, 0.345), Zn at (0.470, 0.328, 0.671), Zn at (0.549, 0.678, 0.340), Mo at (0.508, 0.501, 0.004) and Mo at (0.844, 0.812, 0.672).

The calculation puts the formation energy at 11 kJ/mol of formula units. The uncorrected energy comes out at -22.06 eV per formula unit. The value obtained for the density of states at the Fermi level is 4.44 states/eV per cell.

---

Density functional theory data (PBE) for crystalline TbZnCu at its relaxed geometry.

The space group is I4mm (No. 107) and the conventional cell measures 3.418, 3.418 and 9.765 Å, with angles of 90.00, 90.00 and 90.00 degrees. The inequivalent atoms are Tb at (0.000, 0.000, 0.000), Zn at (0.000, 0.000, 0.694) and Cu at (0.000, 0.000, 0.310).

The calculation puts the formation energy at -52 kJ/mol of formula units. The uncorrected energy comes out at -10.54 eV per formula unit. The value obtained for the density of states at the Fermi level is 3.04 states/eV per cell.

---

Density functional theory data (PBE) for crystalline Ti5InFe4 at its relaxed geometry.

The space group is P4/mmm (No. 123) and the conventional cell measures 2.925, 2.925 and 16.638 Å, with angles of 90.00, 90.00 and 90.00 degrees. The inequivalent atoms are Ti at (0.000, 0.000, 0.000), Ti at (0.000, 0.000, 0.180), Ti at (0.000, 0.000, 0.360), In at (0.500, 0.500, 0.500), Fe at (0.500, 0.500, 0.089) and Fe at (0.500, 0.500, 0.269).

The calculation puts the formation energy at -321 kJ/mol of formula units. The uncorrected energy comes out at -79.39 eV per formula unit. The value obtained for the density of states at the Fermi level is 7.56 states/eV per cell.

---

Density functional theory data (PBE) for crystalline Ti2CuSbH at its relaxed geometry.

The space group is P4/mmm (No. 123) and the conventional cell measures 4.002, 4.002 and 4.230 Å, with angles of 90.00, 90.00 and 90.00 degrees. The inequivalent atoms are Ti at (0.000, 0.500, 0.000), Cu at (0.000, 0.000, 0.500), Sb at (0.500, 0.500, 0.500) and H at (0.000, 0.000, 0.000).

The uncorrected energy comes out at -28.97 eV per formula unit. The value obtained for the density of states at the Fermi level is 1.47 states/eV per cell.

---

Density functional theory data (PBE) for crystalline SrMg2InSn2 at its relaxed geometry.

The space group is P-3m1 (No. 164) and the conventional cell measures 5.0586, 5.0586 and 7.4149 Å, with angles of 90.00, 90.00 and 120.00 degrees. The inequivalent atoms are Sr at (0.0000, 0.0000, 0.0000), Mg at (0.3333, 0.6667, 0.6656), In at (0.0000, 0.0000, 0.5000) and Sn at (0.3333, 0.6667, 0.2456).

The calculation puts the formation energy at -179 kJ/mol of formula units. The uncorrected energy comes out at -17.48 eV per formula unit. The value obtained for the density of states at the Fermi level is 4.83 states/eV per cell.

---

Density functional theory data (PBE) for crystalline SrGa4Hg at its relaxed geometry.

The space group is F-43m (No. 216) and the conventional cell measures 8.178, 8.178 and 8.178 Å, with angles of 90.00, 90.00 and 90.00 degrees. The inequivalent atoms are Sr at (0.000, 0.000, 0.000), Ga at (0.124, 0.124, 0.376) and Hg at (0.250, 0.250, 0.750).

The calculation puts the formation energy at -110 kJ/mol of formula units. The uncorrected energy comes out at -15.23 eV per formula unit. The value obtained for the density of states at the Fermi level is 14.65 states/eV per cell.

---

Density functional theory data (PBE) for crystalline Zr5Co at its relaxed geometry.

The space group is P6/mmm (No. 191) and the conventional cell measures 5.6751, 5.6751 and 5.1220 Å, with angles of 90.00, 90.00 and 120.00 degrees. The inequivalent atoms are Zr at (0.0000, 0.5000, 0.0000), Zr at (0.3333, 0.6667, 0.5000) and Co at (0.0000, 0.0000, 0.5000).

The calculation puts the formation energy at 499 kJ/mol of formula units. The uncorrected energy comes out at -44.67 eV per formula unit. The value obtained for the density of states at the Fermi level is 8.80 states/eV per cell.

---

Density functional theory data (PBE) for crystalline Ho4InPbC at its relaxed geometry.

The space group is Cmcm (No. 63) and the conventional cell measures 6.831, 15.788 and 6.825 Å, with angles of 90.00, 90.00 and 90.00 degrees. The inequivalent atoms are Ho at (0.000, 0.090, 0.250), Ho at (0.000, 0.409, 0.250), Ho at (0.250, 0.250, 0.000), In at (0.000, 0.113, 0.750), Pb at (0.000, 0.390, 0.750) and C at (0.000, 0.249, 0.250).

The calculation puts the formation energy at -309 kJ/mol of formula units. The uncorrected energy comes out at -37.18 eV per formula unit. The value obtained for the density of states at the Fermi level is 18.96 states/eV per cell.

---

Density functional theory data (PBE) for crystalline PtRhBr2 at its relaxed geometry.

The space group is Amm2 (No. 38) and the conventional cell measures 3.869, 5.170 and 8.205 Å, with angles of 90.00, 90.00 and 90.00 degrees. The inequivalent atoms are Pt at (0.000, 0.000, 0.000), Rh at (0.500, 0.000, 0.216), Br at (0.000, 0.000, 0.431) and Br at (0.500, 0.000, 0.772).

The calculation puts the raw formation energy at 0.208 eV per atom. The uncorrected energy comes out at -15.91 eV per formula unit. The value obtained for the density of states at the Fermi level is 4.81 states/eV per cell.

---

Density functional theory data (PBE) for crystalline YGeN3 at its relaxed geometry.

The space group is Pm-3m (No. 221) and the conventional cell measures 4.439, 4.439 and 4.439 Å, with angles of 90.00, 90.00 and 90.00 degrees. The inequivalent atoms are Y at (0.000, 0.000, 0.000), Ge at (0.500, 0.500, 0.500) and N at (0.000, 0.000, 0.500).

The calculation puts the raw formation energy at 1.342 eV per atom. The uncorrected energy comes out at -29.35 eV per formula unit. The value obtained for the density of states at the Fermi level is 2.18 states/eV per cell.

---

Density functional theory data (PBE) for crystalline Ho3TmSc at its relaxed geometry.

The space group is P2_1/c (No. 14) and the conventional cell measures 8.339, 6.197 and 11.958 Å, with angles of 90.00, 104.30 and 90.00 degrees. The inequivalent atoms are Ho at (0.030, 0.158, 0.183), Ho at (0.304, 0.063, 0.016), Ho at (0.389, 0.059, 0.745), Tm at (0.313, 0.562, 0.900) and Sc at (0.068, 0.679, 0.079).

The calculation puts the formation energy at 54 kJ/mol of formula units. The uncorrected energy comes out at -23.97 eV per formula unit. The value obtained for the density of states at the Fermi level is 26.88 states/eV per cell.

---

Density functional theory data (PBE) for crystalline Y2GaAu at its relaxed geometry.

The space group is I-42d (No. 122) and the conventional cell measures 4.886, 4.886 and 18.934 Å, with angles of 90.00, 90.00 and 90.00 degrees. The inequivalent atoms are Y at (0.248, 0.250, 0.125), Ga at (0.000, 0.000, 0.000) and Au at (0.000, 0.000, 0.500).

The calculation puts the formation energy at -33 kJ/mol of formula units. The uncorrected energy comes out at -19.58 eV per formula unit. The value obtained for the density of states at the Fermi level is 17.76 states/eV per cell.

---

Density functional theory data (PBE) for crystalline Li3Zn2CdAg3 at its relaxed geometry.

The space group is P-62m (No. 189) and the conventional cell measures 7.7275, 7.7275 and 2.8724 Å, with angles of 90.00, 90.00 and 120.00 degrees. The inequivalent atoms are Li at (0.0000, 0.6910, 0.0000), Zn at (0.3333, 0.6667, 0.0000), Cd at (0.0000, 0.0000, 0.5000) and Ag at (0.0000, 0.3756, 0.5000).

The calculation puts the formation energy at -152 kJ/mol of formula units. The uncorrected energy comes out at -19.33 eV per formula unit. The value obtained for the density of states at the Fermi level is 3.47 states/eV per cell.

---

Density functional theory data (PBE) for crystalline MgMnHg2 at its relaxed geometry.

The space group is R-3m (No. 166, hexagonal axes) and the conventional cell measures 3.3214, 3.3214 and 26.2929 Å, with angles of 90.00, 90.00 and 120.00 degrees. The inequivalent atoms are Mg at (0.0000, 0.0000, 0.0000), Mn at (0.0000, 0.0000, 0.5000) and Hg at (0.0000, 0.0000, 0.2469).

The calculation puts the formation energy at 61 kJ/mol of formula units. The uncorrected energy comes out at -10.74 eV per formula unit. The value obtained for the density of states at the Fermi level is 6.21 states/eV per cell.

---

Density functional theory data (PBE) for crystalline Ca3Zr3ReN8 at its relaxed geometry.

The space group is R-3m (No. 166, hexagonal axes) and the conventional cell measures 6.4769, 6.4769 and 16.9713 Å, with angles of 90.00, 90.00 and 120.00 degrees. The inequivalent atoms are Ca at (0.0000, 0.5000, 0.0000), Zr at (0.0000, 0.5000, 0.5000), Re at (0.0000, 0.0000, 0.5000), N at (0.0000, 0.0000, 0.2395) and N at (0.0246, 0.5123, 0.2338).

The calculation puts the raw formation energy at -1.101 eV per atom. The uncorrected energy comes out at -127.21 eV per formula unit. The value obtained for the density of states at the Fermi level is 11.80 states/eV per cell.

---

Density functional theory data (PBE) for crystalline Li2HoIn at its relaxed geometry.

The space group is Fm-3m (No. 225) and the conventional cell measures 6.833, 6.833 and 6.833 Å, with angles of 90.00, 90.00 and 90.00 degrees. The inequivalent atoms are Li at (0.250, 0.250, 0.250), Ho at (0.000, 0.000, 0.000) and In at (0.000, 0.000, 0.500).

The calculation puts the formation energy at -107 kJ/mol of formula units. The uncorrected energy comes out at -12.25 eV per formula unit. The value obtained for the density of states at the Fermi level is 6.04 states/eV per cell.

---

Density functional theory data (PBE) for crystalline K2CuRu at its relaxed geometry.

The space group is I4/mmm (No. 139) and the conventional cell measures 4.126, 4.126 and 10.633 Å, with angles of 90.00, 90.00 and 90.00 degrees. The inequivalent atoms are K at (0.000, 0.500, 0.250), Cu at (0.000, 0.000, 0.000) and Ru at (0.000, 0.000, 0.500).

The calculation puts the formation energy at 447 kJ/mol of formula units. The uncorrected energy comes out at -10.93 eV per formula unit. The value obtained for the density of states at the Fermi level is 12.67 states/eV per cell.

---

Density functional theory data (PBE) for crystalline Tb5Y3Er at its relaxed geometry.

The space group is C2/c (No. 15) and the conventional cell measures 18.171, 6.321 and 11.420 Å, with angles of 90.00, 111.87 and 90.00 degrees. The inequivalent atoms are Tb at (0.000, 0.102, 0.250), Tb at (0.169, 0.214, 0.712), Tb at (0.171, 0.319, 0.373), Y at (0.000, 0.500, 0.000), Y at (0.159, 0.192, 0.014) and Er at (0.000, 0.378, 0.750).

The calculation puts the formation energy at 253 kJ/mol of formula units. The uncorrected energy comes out at -44.49 eV per formula unit. The value obtained for the density of states at the Fermi level is 53.21 states/eV per cell.

---

Density functional theory data (PBE) for crystalline Y2Ho5ErTh at its relaxed geometry.

The space group is Cmc2_1 (No. 36) and the conventional cell measures 5.676, 21.388 and 9.690 Å, with angles of 90.00, 90.00 and 90.00 degrees. The inequivalent atoms are Y at (0.000, 0.115, 0.000), Y at (0.000, 0.129, 0.616), Ho at (0.000, 0.015, 0.310), Ho at (0.000, 0.271, 0.002), Ho at (0.000, 0.304, 0.611), Ho at (0.000, 0.399, 0.287), Ho at (0.000, 0.470, 0.586), Er at (0.000, 0.191, 0.311) and Th at (0.000, 0.405, 0.903).

The calculation puts the formation energy at 143 kJ/mol of formula units. The uncorrected energy comes out at -46.32 eV per formula unit. The value obtained for the density of states at the Fermi level is 52.18 states/eV per cell.

---

Density functional theory data (PBE) for crystalline YBeRe2 at its relaxed geometry.

The space group is P4/mmm (No. 123) and the conventional cell measures 3.826, 3.826 and 4.507 Å, with angles of 90.00, 90.00 and 90.00 degrees. The inequivalent atoms are Y at (0.000, 0.000, 0.000), Be at (0.500, 0.500, 0.000) and Re at (0.000, 0.500, 0.500).

The calculation puts the formation energy at 169 kJ/mol of formula units. The uncorrected energy comes out at -33.34 eV per formula unit. The value obtained for the density of states at the Fermi level is 3.09 states/eV per cell.